PmMnMo2O8: relaxed, PBE with a Hubbard U.

Unit cell a=5.2378 b=5.2378 c=6.7427 alpha=112.86 beta=112.86 gamma=90.00
With the nearest neighbours (Å) after each atom.
Sites, in units of the cell vectors:
Pm (0.0000, 0.0000, 0.0000)  8 O 2.42-2.45
Mn (0.7500, 0.2500, 0.5000)  8 O 2.31-2.45
Mo (0.5000, 0.5000, 0.0000)  4 O 1.81
Mo (0.2500, 0.7500, 0.5000)  4 O 1.89
O (0.7501, 0.8281, 0.1714)  1 Mo 1.81
O (0.4213, 0.3433, 0.1714)  1 Mo 1.81
O (0.5916, 0.6560, 0.6664)  1 Mo 1.89
O (0.0747, 0.0104, 0.6664)  1 Mo 1.89
O (0.9896, 0.4084, 0.3336)  1 Mo 1.89
O (0.3440, 0.9253, 0.3336)  1 Mo 1.89
O (0.1719, 0.5787, 0.8286)  1 Mo 1.81
O (0.6567, 0.2499, 0.8286)  1 Mo 1.81

M_tot in μB/cell: 6.00
Calculated total energy in eV per cell: -90.54